Material: Sc4Hg3
Method: DFT, PBE
State: relaxed

The value obtained for the relative energy among the computed polymorphs is 0.000 eV per atom. The calculated volume is 22.5 Å³/atom. The energy of formation from the pure elements is -0.26 eV per atom. Its raw total energy is -28.1 eV for the cell shown.

abc: 12.103 12.103 12.103
angles: 162.66 162.66 24.62
Fractional coordinates of all 7 atoms:
Sc1 0.071 0.071 0.000
Sc2 0.351 0.351 0.000
Sc3 0.649 0.649 0.000
Sc4 0.929 0.929 0.000
Hg1 0.212 0.212 0.000
Hg2 0.500 0.500 0.000
Hg3 0.788 0.788 0.000

---

Material: Sc3Hg
Method: DFT, PBE
State: relaxed

The calculated volume is 22.4 Å³/atom. The energy of formation from the pure elements is -0.22 eV per atom. Its raw total energy is -20.2 eV for the cell shown.

abc: 4.472 4.472 4.472
angles: 90.00 90.00 90.00
Fractional coordinates of all 4 atoms:
Sc1 0.000 0.000 0.500
Sc2 0.000 0.500 0.000
Sc3 0.500 0.000 0.000
Hg1 0.500 0.500 0.500

---

Material: Sc3Hg
Method: DFT, PBE
State: relaxed

The calculated volume is 22.4 Å³/atom. The energy of formation from the pure elements is -0.23 eV per atom. Its raw total energy is -40.4 eV for the cell shown.

abc: 6.313 6.313 5.199
angles: 90.00 90.00 120.00
Fractional coordinates of all 8 atoms:
Sc1 0.170 0.340 0.250
Sc2 0.170 0.830 0.250
Sc3 0.340 0.170 0.750
Sc4 0.660 0.830 0.250
Sc5 0.830 0.170 0.750
Sc6 0.830 0.660 0.750
Hg1 0.333 0.667 0.750
Hg2 0.667 0.333 0.250

---

Material: Sc5Hg4
Method: DFT, PBE
State: relaxed

The value obtained for the relative energy among the computed polymorphs is 0.000 eV per atom. The calculated volume is 22.4 Å³/atom. The energy of formation from the pure elements is -0.37 eV per atom. Its raw total energy is -72.3 eV for the cell shown.

abc: 8.659 8.659 6.213
angles: 90.00 90.00 120.00
Fractional coordinates of all 18 atoms:
Sc1 0.000 0.296 0.250
Sc2 0.000 0.704 0.750
Sc3 0.296 0.000 0.250
Sc4 0.296 0.296 0.750
Sc5 0.333 0.667 0.000
Sc6 0.333 0.667 0.500
Sc7 0.667 0.333 0.000
Sc8 0.667 0.333 0.500
Sc9 0.704 0.000 0.750
Sc10 0.704 0.704 0.250
Hg1 0.000 0.000 0.000
Hg2 0.000 0.000 0.500
Hg3 0.000 0.376 0.750
Hg4 0.000 0.624 0.250
Hg5 0.376 0.000 0.750
Hg6 0.376 0.376 0.250
Hg7 0.624 0.000 0.250
Hg8 0.624 0.624 0.750

---

Material: ScHg3
Method: DFT, PBE
State: relaxed

The calculated volume is 22.6 Å³/atom. The energy of formation from the pure elements is -0.17 eV per atom. Its raw total energy is -7.9 eV for the cell shown.

abc: 5.508 5.508 5.508
angles: 134.40 129.54 70.35
Fractional coordinates of all 4 atoms:
Sc1 0.000 0.000 0.000
Hg1 0.251 0.751 0.500
Hg2 0.500 0.500 0.000
Hg3 0.749 0.249 0.500

---

Material: Sc3Hg
Method: DFT, PBE
State: relaxed

The calculated volume is 24.0 Å³/atom. The energy of formation from the pure elements is -0.11 eV per atom. Its raw total energy is -19.7 eV for the cell shown.

abc: 10.122 10.122 10.122
angles: 19.00 19.00 19.00
Fractional coordinates of all 4 atoms:
Sc1 0.000 0.000 0.000
Sc2 0.246 0.246 0.246
Sc3 0.754 0.754 0.754
Hg1 0.500 0.500 0.500

---

Material: Sc2Hg3
Method: DFT, PBE
State: relaxed

The value obtained for the relative energy among the computed polymorphs is 0.026 eV per atom. The calculated volume is 22.2 Å³/atom. The energy of formation from the pure elements is -0.30 eV per atom. Its raw total energy is -15.1 eV for the cell shown.

abc: 6.198 6.198 6.198
angles: 45.62 45.62 45.62
Fractional coordinates of all 5 atoms:
Sc1 0.100 0.100 0.100
Sc2 0.900 0.900 0.900
Hg1 0.296 0.296 0.296
Hg2 0.500 0.500 0.500
Hg3 0.704 0.704 0.704

---

Material: Sc2Hg3
Method: DFT, PBE
State: relaxed

The value obtained for the relative energy among the computed polymorphs is 0.045 eV per atom. The calculated volume is 22.5 Å³/atom. The energy of formation from the pure elements is -0.28 eV per atom. Its raw total energy is -29.9 eV for the cell shown.

abc: 7.867 5.953 8.894
angles: 60.18 41.03 78.78
Fractional coordinates of all 10 atoms:
Sc1 0.244 0.756 0.365
Sc2 0.615 0.885 0.494
Sc3 0.756 0.244 0.635
Sc4 0.885 0.615 0.006
Hg1 0.134 0.798 0.087
Hg2 0.163 0.268 0.116
Hg3 0.268 0.163 0.452
Hg4 0.392 0.392 0.608
Hg5 0.642 0.642 0.858
Hg6 0.798 0.134 0.982

---

| no. | magnetic moment (μB/f.u.) |
| --- | --- |
| 1 | 2.15 |
| 2 | 0.96 |
| 3 | 0.95 |
| 4 | 0.00 |
| 5 | 0.00 |
| 6 | 0.00 |
| 7 | 0.00 |
| 8 | 0.00 |